1:
Here is a relaxed KAsOF2 crystal from the Alexandria database. Energies are from PBE.

abc: 4.4417 4.4417 3.9286
angles: 90.00 90.00 90.00
Closest atoms and distances in Å follow each position.
Atoms (fractional coordinates):
K  0.0000  0.0000  0.0000  8 F 2.96, 4 O 3.14
As  0.5000  0.5000  0.5000  2 O 1.96
O  0.5000  0.5000  0.0000  2 As 1.96
F  0.0000  0.5000  0.5000  2 As 2.22
F  0.5000  0.0000  0.5000  2 As 2.22

Values from the calculation:
- SG = P4/mmm (123)

2:
Here is a relaxed KAsOF2 crystal from the Alexandria database. Energies are from PBE.

abc: 4.5203 4.5203 4.5719
angles: 90.00 90.00 90.00
Closest atoms and distances in Å follow each position.
Atoms (fractional coordinates):
K  0.0000  0.0000  0.0000  4 F 2.26, 2 O 2.29
As  0.5000  0.5000  0.5000  4 O 3.20, 8 F 3.21
O  0.0000  0.0000  0.5000  2 K 2.29
F  0.0000  0.5000  0.0000  2 K 2.26
F  0.5000  0.0000  0.0000  2 K 2.26

Values from the calculation:
- SG = P4/mmm (123)

Quick look at relative energies in kJ/mol of atoms: 1 0.0; 2 169.1.

1:
Here is a relaxed KAsO2F4 crystal from the Alexandria database. Energies are from PBE.

abc: 8.0785 8.0785 6.5430
angles: 93.52 93.52 144.24
Closest atoms and distances in Å follow each position.
Atoms (fractional coordinates):
K  0.0979  0.9021  0.7500  6 F 2.74-2.85, 2 O 2.89
K  0.9021  0.0979  0.2500  6 F 2.74-2.85, 2 O 2.89
As  0.3607  0.6393  0.7500  4 F 1.79-1.80, 2 O 1.82
As  0.6393  0.3607  0.2500  4 F 1.79-1.80, 2 O 1.82
O  0.0381  0.4988  0.6696  1 As 1.82
O  0.4988  0.0381  0.1696  1 As 1.82
O  0.5012  0.9619  0.8304  1 As 1.82
O  0.9619  0.5012  0.3304  1 As 1.82
F  0.1932  0.3074  0.6507  1 As 1.80
F  0.2564  0.5213  0.9942  1 As 1.79
F  0.3074  0.1932  0.1507  1 As 1.80
F  0.4787  0.7436  0.5058  1 As 1.79
F  0.5213  0.2564  0.4942  1 As 1.79
F  0.6926  0.8068  0.8493  1 As 1.80
F  0.7436  0.4787  0.0058  1 As 1.79
F  0.8068  0.6926  0.3493  1 As 1.80

Values from the calculation:
- SG = C2/c (15)

2:
Here is a relaxed KAsO2F4 crystal from the Alexandria database. Energies are from PBE.

abc: 8.1453 8.1453 6.7434
angles: 92.84 92.84 142.82
Closest atoms and distances in Å follow each position.
Atoms (fractional coordinates):
K  0.1285  0.8715  0.7500  6 F 2.85-3.09, 4 O 3.02-3.13
K  0.8715  0.1285  0.2500  6 F 2.85-3.09, 4 O 3.02-3.13
As  0.3866  0.6134  0.7500  4 F 1.79-1.81, 2 O 1.80
As  0.6134  0.3866  0.2500  4 F 1.79-1.81, 2 O 1.80
O  0.3204  0.5558  0.0046  1 As 1.80
O  0.4442  0.6796  0.4954  1 As 1.80
O  0.5558  0.3204  0.5046  1 As 1.80
O  0.6796  0.4442  0.9954  1 As 1.80
F  0.0676  0.4618  0.6622  1 As 1.81
F  0.2193  0.2835  0.7011  1 As 1.79
F  0.2835  0.2193  0.2011  1 As 1.79
F  0.4618  0.0676  0.1622  1 As 1.81
F  0.5382  0.9324  0.8378  1 As 1.81
F  0.7165  0.7807  0.7989  1 As 1.79
F  0.7807  0.7165  0.2989  1 As 1.79
F  0.9324  0.5382  0.3378  1 As 1.81

Values from the calculation:
- SG = C2/c (15)

Quick look at relative energies in kJ/mol of atoms: 1 0.0; 2 7.2.

1:
Here is a relaxed K2RbAsF crystal from the Alexandria database. Energies are from PBE.

abc: 5.1172 5.1172 7.1454
angles: 90.00 90.00 90.00
Closest atoms and distances in Å follow each position.
Atoms (fractional coordinates):
K  0.0000  0.5000  0.0000  2 F 2.56
K  0.5000  0.0000  0.0000  2 F 2.56
Rb  0.0000  0.0000  0.5000  4 As 3.62
As  0.5000  0.5000  0.5000  2 F 3.57, 4 Rb 3.62
F  0.5000  0.5000  0.0000  4 K 2.56

Values from the calculation:
- SG = P4/mmm (123)

2:
Here is a relaxed K2RbAsF crystal from the Alexandria database. Energies are from PBE.

abc: 5.2874 5.2874 5.5304
angles: 90.00 90.00 90.00
Closest atoms and distances in Å follow each position.
Atoms (fractional coordinates):
K  0.0000  0.5000  0.0000  2 F 2.64
K  0.5000  0.0000  0.0000  2 F 2.64
Rb  0.0000  0.0000  0.5000  2 F 2.77
As  0.5000  0.5000  0.5000  4 Rb 3.74, 8 K 3.83
F  0.0000  0.0000  0.0000  4 K 2.64, 2 Rb 2.77

Values from the calculation:
- SG = P4/mmm (123)

Quick look at relative energies in kJ/mol of atoms: 1 34.4; 2 0.0.

1:
Here is a relaxed K2TlAsF6 crystal from the Alexandria database. Energies are from PBE.

abc: 6.3681 6.3906 6.5183
angles: 62.29 89.75 62.25
Closest atoms and distances in Å follow each position.
Atoms (fractional coordinates):
K  0.0000  0.0000  0.0000  5 F 2.63-2.79
K  0.4855  0.0020  0.4711  5 F 2.59-2.83
Tl  0.7645  0.4780  0.2176  1 F 2.40
As  0.2667  0.4621  0.7050  5 F 1.85-2.07
F  0.1014  0.3017  0.6121  1 As 2.03
F  0.1890  0.3033  0.0325  1 As 2.07
F  0.3717  0.5373  0.4000  1 As 2.01
F  0.5046  0.5407  0.8175  1 As 2.04
F  0.5423  0.1097  0.8360  1 As 1.85
F  0.8823  0.0029  0.3868  1 Tl 2.40, 2 K 2.59-2.63

Values from the calculation:
- SG = P1 (1)

2:
Here is a relaxed K2TlAsF6 crystal from the Alexandria database. Energies are from PBE.

abc: 6.6234 6.6234 6.6234
angles: 60.00 60.00 60.00
Closest atoms and distances in Å follow each position.
Atoms (fractional coordinates):
K  0.2500  0.2500  0.2500  12 F 3.32
K  0.7500  0.7500  0.7500  12 F 3.32
Tl  0.0000  0.0000  0.0000  6 F 2.62
As  0.5000  0.5000  0.5000  6 F 2.06
F  0.2796  0.2796  0.7204  1 As 2.06
F  0.2796  0.7204  0.2796  1 As 2.06
F  0.2796  0.7204  0.7204  1 As 2.06
F  0.7204  0.2796  0.2796  1 As 2.06
F  0.7204  0.2796  0.7204  1 As 2.06
F  0.7204  0.7204  0.2796  1 As 2.06

Values from the calculation:
- SG = Fm-3m (225)

Quick look at relative energies in kJ/mol of atoms: 1 0.0; 2 6.2.